Record 1
VASP calculation (SCAN) on a PBEsol-optimized structure of RbAuN3.

Computed properties:
- space-group type = Pm-3m (221)
- total energy (eV/atom) = -20.657

a = 5.400 Å, b = 5.400 Å, c = 5.400 Å
α = 90.00°, β = 90.00°, γ = 90.00°
Atoms (fractional coordinates):
Rb: 0.000 0.000 0.000
Au: 0.500 0.500 0.500
N: 0.000 0.000 0.500
N: 0.000 0.500 0.000
N: 0.500 0.000 0.000

Record 2
VASP calculation (SCAN) on a PBEsol-optimized structure of SrMgP3.

Computed properties:
- space-group type = Pm-3m (221)
- total energy (eV/atom) = -10.520
- ΔE_f (eV per atom) = 1.169

a = 5.271 Å, b = 5.271 Å, c = 5.271 Å
α = 90.00°, β = 90.00°, γ = 90.00°
Atoms (fractional coordinates):
Sr: 0.000 0.000 0.000
Mg: 0.500 0.500 0.500
P: 0.000 0.000 0.500
P: 0.000 0.500 0.000
P: 0.500 0.000 0.000

Record 3
VASP calculation (SCAN) on a PBEsol-optimized structure of RbGeB3.

Computed properties:
- space-group type = Pm-3m (221)
- total energy (eV/atom) = -8.891
- ΔE_f (eV per atom) = 3.532

a = 4.670 Å, b = 4.670 Å, c = 4.670 Å
α = 90.00°, β = 90.00°, γ = 90.00°
Atoms (fractional coordinates):
Rb: 0.000 0.000 0.000
Ge: 0.500 0.500 0.500
B: 0.000 0.000 0.500
B: 0.000 0.500 0.000
B: 0.500 0.000 0.000

Record 4
VASP calculation (SCAN) on a PBEsol-optimized structure of Co3O2F4.

Computed properties:
- space-group type = P2_1/c (14)
- total energy (eV/atom) = -10.526
- energy above the lowest structure with this stoichiometry (meV/atom) = 24

a = 4.427 Å, b = 4.435 Å, c = 10.024 Å
α = 90.00°, β = 116.15°, γ = 90.00°
Atoms (fractional coordinates):
Co: 0.000 0.000 0.000
Co: 0.000 0.500 0.500
Co: 0.365 0.035 0.326
Co: 0.365 0.465 0.826
Co: 0.635 0.535 0.174
Co: 0.635 0.965 0.674
O: 0.359 0.661 0.666
O: 0.359 0.839 0.166
O: 0.641 0.161 0.834
O: 0.641 0.339 0.334
F: 0.055 0.737 0.336
F: 0.055 0.763 0.836
F: 0.300 0.199 0.494
F: 0.300 0.301 0.994
F: 0.700 0.699 0.006
F: 0.700 0.801 0.506
F: 0.945 0.237 0.164
F: 0.945 0.263 0.664

Record 5
VASP calculation (SCAN) on a PBEsol-optimized structure of Ba2TcAu.

Computed properties:
- space-group type = Pmm2 (25)
- total energy (eV/atom) = -45.375
- ΔE_f (eV per atom) = 0.454

a = 3.498 Å, b = 5.430 Å, c = 6.284 Å
α = 90.00°, β = 90.00°, γ = 90.00°
Atoms (fractional coordinates):
Ba: 0.000 0.000 0.000
Ba: 0.500 0.500 0.497
Tc: 0.000 0.000 0.501
Au: 0.500 0.500 0.997

Record 6
VASP calculation (SCAN) on a PBEsol-optimized structure of BeFeRu2.

Computed properties:
- space-group type = Imm2 (44)
- total energy (eV/atom) = -23.155
- ΔE_f (eV per atom) = -0.121

a = 4.692 Å, b = 4.692 Å, c = 4.692 Å
α = 144.93°, β = 129.97°, γ = 62.56°
Atoms (fractional coordinates):
Be: 0.000 0.000 0.000
Fe: 0.776 0.276 0.500
Ru: 0.242 0.742 0.500
Ru: 0.512 0.512 0.000

Record 7
VASP calculation (SCAN) on a PBEsol-optimized structure of SrHg2TeMo.

Computed properties:
- space-group type = P4/mmm (123)
- total energy (eV/atom) = -45.599

a = 5.583 Å, b = 5.583 Å, c = 5.071 Å
α = 90.00°, β = 90.00°, γ = 90.00°
Atoms (fractional coordinates):
Sr: 0.000 0.000 0.000
Hg: 0.000 0.500 0.500
Hg: 0.500 0.000 0.500
Te: 0.500 0.500 0.500
Mo: 0.500 0.500 0.000

Record 8
VASP calculation (SCAN) on a PBEsol-optimized structure of Cr2InRe.

Computed properties:
- space-group type = R-3m (166)
- total energy (eV/atom) = -34.782
- ΔE_f (eV per atom) = 0.532

a = 8.703 Å, b = 8.703 Å, c = 8.703 Å
α = 18.54°, β = 18.54°, γ = 18.54°
Atoms (fractional coordinates):
Cr: 0.243 0.243 0.243
Cr: 0.757 0.757 0.757
In: 0.000 0.000 0.000
Re: 0.500 0.500 0.500